Entry 1:
# BaSN

Crystalline BaSN at its relaxed geometry (PBE, Alexandria via LeMat-Bulk).

The structure in POSCAR format:
```
BaSN
1.0
-3.922 1.938 1.016
-4.057 -7.987 -0.427
2.441 -0.409 10.205
Ba S N
4 4 4
direct
0.250 0.105 0.350
0.750 0.395 0.650
0.250 0.605 0.350
0.750 0.895 0.650
0.750 0.355 0.349
0.250 0.645 0.651
0.250 0.145 0.651
0.750 0.855 0.349
0.447 0.018 0.047
0.947 0.482 0.953
0.553 0.982 0.953
0.053 0.518 0.047
```

## Properties
- E above lowest polymorph: 0 meV per atom
- Energy relative to the elements, uncorrected: -1.29 eV per atom
- Total DFT energy (no corrections): -72.92 eV per cell

=====

Entry 2:
# Ba4SN2

Crystalline Ba4SN2 at its relaxed geometry (PBE, Alexandria via LeMat-Bulk).

The structure in POSCAR format:
```
Ba4SN2
1.0
6.153 0.000 0.000
0.000 6.153 0.000
3.076 3.076 6.490
Ba N S
4 2 1
direct
0.751 0.751 0.498
0.249 0.249 0.502
0.500 0.000 0.000
0.000 0.500 0.000
0.451 0.451 0.097
0.549 0.549 0.903
0.000 0.000 0.000
```

## Properties
- Energy relative to the elements, uncorrected: -0.79 eV per atom
- Total DFT energy (no corrections): -33.99 eV per cell

=====

Entry 3:
# Ba3SN

Crystalline Ba3SN at its relaxed geometry (PBE, Alexandria via LeMat-Bulk).

The structure in POSCAR format:
```
Ba3SN
1.0
-6.954 3.111 -0.455
-3.463 -6.089 -6.798
-4.422 -6.370 5.929
Ba S N
12 4 4
direct
0.124 0.946 0.791
0.624 0.791 0.946
0.407 0.898 0.379
0.671 0.410 0.290
0.907 0.379 0.898
0.171 0.290 0.410
0.376 0.209 0.054
0.876 0.054 0.209
0.329 0.590 0.710
0.093 0.621 0.102
0.829 0.710 0.590
0.593 0.102 0.621
0.250 0.912 0.088
0.750 0.732 0.268
0.250 0.268 0.732
0.750 0.088 0.912
0.020 0.674 0.836
0.480 0.164 0.326
0.520 0.836 0.674
0.980 0.326 0.164
```

## Properties
- E above lowest polymorph: 0 meV per atom
- Energy relative to the elements, uncorrected: -0.99 eV per atom
- Total DFT energy (no corrections): -92.65 eV per cell

=====

Entry 4:
# Ba2SN

Crystalline Ba2SN at its relaxed geometry (PBE, Alexandria via LeMat-Bulk).

The structure in POSCAR format:
```
Ba2SN
1.0
-2.273 3.962 6.023
-5.448 -5.081 1.286
-1.112 -2.861 6.206
Ba S N
4 2 2
direct
0.168 0.625 0.250
0.875 0.832 0.750
0.582 0.125 0.250
0.375 0.418 0.750
0.750 0.250 0.500
0.000 0.000 0.000
0.250 0.750 0.500
0.500 0.500 0.000
```

## Properties
- E above lowest polymorph: 0 meV per atom
- Energy relative to the elements, uncorrected: -0.84 eV per atom
- Total DFT energy (no corrections): -39.30 eV per cell